This record from the Alexandria database describes an optimized crystal structure of Cs3TlGe2Cl9. The functional is PBE-GGA.

abc: 7.700 7.700 9.538
angles: 90.00 90.00 120.00
Element x y z (fractional)
1 Cs 0.000 0.000 0.000
2 Cs 0.333 0.667 0.682
3 Cs 0.667 0.333 0.318
4 Tl 0.000 0.000 0.500
5 Ge 0.333 0.667 0.160
6 Ge 0.667 0.333 0.840
7 Cl 0.000 0.500 0.000
8 Cl 0.182 0.363 0.310
9 Cl 0.182 0.818 0.310
10 Cl 0.363 0.182 0.690
11 Cl 0.500 0.000 0.000
12 Cl 0.500 0.500 0.000
13 Cl 0.637 0.818 0.310
14 Cl 0.818 0.182 0.690
15 Cl 0.818 0.637 0.690

Properties
formation energy without anion corrections	-1337	meV per atom
volume	32.6	Å³ per atom
density of states at the Fermi level	2.847	states/eV/cell
spin magnetization	0.0	μB per cell

=====

This record from the Alexandria database describes an optimized crystal structure of MnCu4Au2. The functional is PBE-GGA.

abc: 5.017 5.017 9.523
angles: 90.00 90.00 59.30
Element x y z (fractional)
1 Mn 0.000 0.000 0.000
2 Mn 0.500 0.500 0.500
3 Cu 0.001 0.499 0.750
4 Cu 0.001 0.999 0.726
5 Cu 0.499 0.001 0.250
6 Cu 0.499 0.501 0.226
7 Cu 0.501 0.499 0.774
8 Cu 0.501 0.999 0.750
9 Cu 0.999 0.001 0.274
10 Cu 0.999 0.501 0.250
11 Au 0.173 0.173 0.500
12 Au 0.327 0.327 0.000
13 Au 0.673 0.673 0.000
14 Au 0.827 0.827 0.500

Properties
volume	14.7	Å³ per atom
DFT formation energy	0.08	eV/atom
density of states at the Fermi level	7.825	states/eV/cell
spin magnetization	8.5	μB per cell

=====

This record from the Alexandria database describes an optimized crystal structure of CaMgAsAu. The functional is PBE-GGA.

abc: 4.953 4.953 4.953
angles: 60.00 60.00 60.00
Element x y z (fractional)
1 Ca 0.000 0.000 0.000
2 Mg 0.500 0.500 0.500
3 As 0.750 0.750 0.750
4 Au 0.250 0.250 0.250

Properties
volume	21.5	Å³ per atom
DFT formation energy	-0.69	eV/atom
spin magnetization	0.0	μB per cell